Below is an optimized crystal structure of Tb2Al3PdAu4, with properties calculated at the GGA-PBE level.

```
data_Tb2Al3PdAu4
_chemical_formula_sum 'Tb2 Al3 Pd1 Au4'
_symmetry_space_group_name_H-M 'P -4 m 2'
_symmetry_Int_Tables_number 115
_cell_length_a 4.180
_cell_length_b 4.180
_cell_length_c 11.456
_cell_angle_alpha 90.00
_cell_angle_beta 90.00
_cell_angle_gamma 90.00
loop_
_symmetry_equiv_pos_as_xyz
'x,y,z'
'y,-x,-z'
'-x,-y,z'
'-y,x,-z'
'-x,y,z'
'-y,-x,-z'
'x,-y,z'
'y,x,-z'
loop_
_atom_site_label
_atom_site_type_symbol
_atom_site_fract_x
_atom_site_fract_y
_atom_site_fract_z
Tb1 Tb 0.000 0.500 0.243
Al1 Al 0.000 0.000 0.000
Al2 Al 0.000 0.500 0.631
Pd1 Pd 0.500 0.500 0.000
Au1 Au 0.000 0.000 0.500
Au2 Au 0.000 0.500 0.846
Au3 Au 0.500 0.500 0.500
```

Calculated values
Formation energy from the elements, meV per atom: -659
Crystal system: tetragonal

***

Below is an optimized crystal structure of Th2Al3PdAu12, with properties calculated at the GGA-PBE level.

```
data_Th2Al3PdAu12
_chemical_formula_sum 'Th6 Al9 Pd3 Au36'
_symmetry_space_group_name_H-M 'R -3 m'
_symmetry_Int_Tables_number 166
_symmetry_space_group_name_Hall '-R 3 2"'
_cell_length_a 8.7323
_cell_length_b 8.7323
_cell_length_c 18.6843
_cell_angle_alpha 90.00
_cell_angle_beta 90.00
_cell_angle_gamma 120.00
loop_
_atom_site_label
_atom_site_type_symbol
_atom_site_fract_x
_atom_site_fract_y
_atom_site_fract_z
Th1 Th 0.0000 0.0000 0.1131
Al1 Al 0.0000 0.5000 0.0000
Pd1 Pd 0.0000 0.0000 0.5000
Au1 Au 0.0115 0.5057 0.8657
Au2 Au 0.0166 0.5083 0.3708
```

Calculated values
Formation energy from the elements, meV per atom: -111
Crystal system: trigonal

***

Below is an optimized crystal structure of Th2Al4Pd3Au, with properties calculated at the GGA-PBE level.

```
data_Th2Al4Pd3Au
_chemical_formula_sum 'Th2 Al4 Pd3 Au1'
_symmetry_space_group_name_H-M 'P -4 m 2'
_symmetry_Int_Tables_number 115
_cell_length_a 4.355
_cell_length_b 4.355
_cell_length_c 10.345
_cell_angle_alpha 90.00
_cell_angle_beta 90.00
_cell_angle_gamma 90.00
loop_
_symmetry_equiv_pos_as_xyz
'x,y,z'
'y,-x,-z'
'-x,-y,z'
'-y,x,-z'
'-x,y,z'
'-y,-x,-z'
'x,-y,z'
'y,x,-z'
loop_
_atom_site_label
_atom_site_type_symbol
_atom_site_fract_x
_atom_site_fract_y
_atom_site_fract_z
Th1 Th 0.000 0.500 0.250
Al1 Al 0.000 0.000 0.000
Al2 Al 0.000 0.500 0.633
Al3 Al 0.500 0.500 0.000
Pd1 Pd 0.000 0.500 0.871
Pd2 Pd 0.500 0.500 0.500
Au1 Au 0.000 0.000 0.500
```

Calculated values
Formation energy from the elements, meV per atom: -802
Crystal system: tetragonal

***

Below is an optimized crystal structure of ThAl3PdAu, with properties calculated at the GGA-PBE level.

```
data_ThAl3PdAu
_chemical_formula_sum 'Th4 Al12 Pd4 Au4'
_symmetry_space_group_name_H-M 'C m c m'
_symmetry_Int_Tables_number 63
_symmetry_space_group_name_Hall '-C 2c 2'
_cell_length_a 6.009
_cell_length_b 13.349
_cell_length_c 5.919
_cell_angle_alpha 90.00
_cell_angle_beta 90.00
_cell_angle_gamma 90.00
loop_
_atom_site_label
_atom_site_type_symbol
_atom_site_fract_x
_atom_site_fract_y
_atom_site_fract_z
Th1 Th 0.000 0.205 0.250
Al1 Al 0.000 0.372 0.750
Al2 Al 0.214 0.000 0.000
Pd1 Pd 0.000 0.411 0.250
Au1 Au 0.000 0.167 0.750
```

Calculated values
Formation energy from the elements, meV per atom: -468
Crystal system: orthorhombic

***

formation energy from the elements of number 2 (Th2Al3PdAu12)? -111 meV per atom

***

Which value of formation energy from the elements does entry 3 give? -802 meV per atom

***

Copy entry 3 word for word.
Below is an optimized crystal structure of Th2Al4Pd3Au, with properties calculated at the GGA-PBE level.

```
data_Th2Al4Pd3Au
_chemical_formula_sum 'Th2 Al4 Pd3 Au1'
_symmetry_space_group_name_H-M 'P -4 m 2'
_symmetry_Int_Tables_number 115
_cell_length_a 4.355
_cell_length_b 4.355
_cell_length_c 10.345
_cell_angle_alpha 90.00
_cell_angle_beta 90.00
_cell_angle_gamma 90.00
loop_
_symmetry_equiv_pos_as_xyz
'x,y,z'
'y,-x,-z'
'-x,-y,z'
'-y,x,-z'
'-x,y,z'
'-y,-x,-z'
'x,-y,z'
'y,x,-z'
loop_
_atom_site_label
_atom_site_type_symbol
_atom_site_fract_x
_atom_site_fract_y
_atom_site_fract_z
Th1 Th 0.000 0.500 0.250
Al1 Al 0.000 0.000 0.000
Al2 Al 0.000 0.500 0.633
Al3 Al 0.500 0.500 0.000
Pd1 Pd 0.000 0.500 0.871
Pd2 Pd 0.500 0.500 0.500
Au1 Au 0.000 0.000 0.500
```

Calculated values
Formation energy from the elements, meV per atom: -802
Crystal system: tetragonal